1.
Below is SrReRh after structural relaxation, with properties calculated at the PBE level.

Summary:
density of states at the Fermi level = 3.17 states/eV/f.u.
DFT total energy = -6.95 eV/atom
DFT formation energy = 0.21 eV/atom
crystal system = orthorhombic

Cell and atoms, written as CIF:
```
data_SrReRh
_cell_length_a 4.486
_cell_length_b 7.782
_cell_length_c 7.357
_cell_angle_alpha 90.00
_cell_angle_beta 90.00
_cell_angle_gamma 90.00
_space_group_name_H-M_alt 'I m m 2'
_space_group_IT_number 44
loop_
_space_group_symop_operation_xyz
'x,y,z'
'-x,-y,z'
'-x,y,z'
'x,-y,z'
'x+1/2,y+1/2,z+1/2'
'-x+1/2,-y+1/2,z+1/2'
'-x+1/2,y+1/2,z+1/2'
'x+1/2,-y+1/2,z+1/2'
loop_
_atom_site_label
_atom_site_type_symbol
_atom_site_fract_x
_atom_site_fract_y
_atom_site_fract_z
Sr1 Sr 0.000 0.000 0.000
Sr2 Sr 0.000 0.500 0.148
Re1 Re 0.000 0.348 0.741
Rh1 Rh 0.000 0.186 0.418
```

---

2.
Below is SrRe2Rh after structural relaxation, with properties calculated at the PBE level.

Summary:
density of states at the Fermi level = 3.66 states/eV/f.u.
DFT total energy = -7.57 eV/atom
DFT formation energy = 0.92 eV/atom
crystal system = tetragonal

Cell and atoms, written as CIF:
```
data_SrRe2Rh
_cell_length_a 3.812
_cell_length_b 3.812
_cell_length_c 5.071
_cell_angle_alpha 90.00
_cell_angle_beta 90.00
_cell_angle_gamma 90.00
_space_group_name_H-M_alt 'P 4/m m m'
_space_group_IT_number 123
_space_group_name_Hall '-P 4 2'
loop_
_atom_site_label
_atom_site_type_symbol
_atom_site_fract_x
_atom_site_fract_y
_atom_site_fract_z
Sr1 Sr 0.000 0.000 0.000
Re1 Re 0.000 0.500 0.500
Rh1 Rh 0.500 0.500 0.000
```

---

3.
Below is SrReRh after structural relaxation, with properties calculated at the PBE level.

Summary:
density of states at the Fermi level = 3.65 states/eV/f.u.
DFT total energy = -5.46 eV/atom
DFT formation energy = 1.70 eV/atom
crystal system = hexagonal

Cell and atoms, written as CIF:
```
data_SrReRh
_cell_length_a 5.3438
_cell_length_b 5.3438
_cell_length_c 9.2278
_cell_angle_alpha 90.00
_cell_angle_beta 90.00
_cell_angle_gamma 120.00
_space_group_name_H-M_alt 'P 63/m m c'
_space_group_IT_number 194
_space_group_name_Hall '-P 6c 2c'
loop_
_atom_site_label
_atom_site_type_symbol
_atom_site_fract_x
_atom_site_fract_y
_atom_site_fract_z
Sr1 Sr 0.3333 0.6667 0.2500
Re1 Re 0.0000 0.0000 0.2500
Rh1 Rh 0.0000 0.0000 0.0000
```

---

4.
Below is SrReRh after structural relaxation, with properties calculated at the PBE level.

Summary:
density of states at the Fermi level = 2.00 states/eV/f.u.
DFT total energy = -7.05 eV/atom
DFT formation energy = 0.11 eV/atom
crystal system = triclinic

Cell and atoms, written as CIF:
```
data_SrReRh
_cell_length_a 4.283
_cell_length_b 4.283
_cell_length_c 10.267
_cell_angle_alpha 89.45
_cell_angle_beta 89.55
_cell_angle_gamma 60.04
_space_group_name_H-M_alt 'P -1'
_space_group_IT_number 2
loop_
_space_group_symop_operation_xyz
'x,y,z'
'-x,-y,-z'
loop_
_atom_site_label
_atom_site_type_symbol
_atom_site_fract_x
_atom_site_fract_y
_atom_site_fract_z
Sr1 Sr 0.169 0.172 0.193
Re1 Re 0.167 0.167 0.507
Rh1 Rh 0.499 0.498 0.631
```

---

5.
Below is SrRe2Rh after structural relaxation, with properties calculated at the PBE level.

Summary:
density of states at the Fermi level = 5.28 states/eV/f.u.
DFT total energy = -7.74 eV/atom
DFT formation energy = 0.74 eV/atom
crystal system = orthorhombic

Cell and atoms, written as CIF:
```
data_SrRe2Rh
_cell_length_a 2.783
_cell_length_b 4.097
_cell_length_c 6.985
_cell_angle_alpha 90.00
_cell_angle_beta 90.00
_cell_angle_gamma 90.00
_space_group_name_H-M_alt 'P m m m'
_space_group_IT_number 47
loop_
_space_group_symop_operation_xyz
'x,y,z'
'-x,-y,-z'
'-x,-y,z'
'x,y,-z'
'x,-y,-z'
'-x,y,z'
'-x,y,-z'
'x,-y,z'
loop_
_atom_site_label
_atom_site_type_symbol
_atom_site_fract_x
_atom_site_fract_y
_atom_site_fract_z
Sr1 Sr 0.000 0.000 0.000
Re1 Re 0.500 0.500 0.331
Rh1 Rh 0.000 0.000 0.500
```

---

6.
Below is SrRe2Rh after structural relaxation, with properties calculated at the PBE level.

Summary:
density of states at the Fermi level = 4.41 states/eV/f.u.
DFT total energy = -7.95 eV/atom
DFT formation energy = 0.54 eV/atom
crystal system = monoclinic

Cell and atoms, written as CIF:
```
data_SrRe2Rh
_cell_length_a 11.969
_cell_length_b 2.792
_cell_length_c 4.758
_cell_angle_alpha 90.00
_cell_angle_beta 113.36
_cell_angle_gamma 90.00
_space_group_name_H-M_alt 'C 1 2/m 1'
_space_group_IT_number 12
loop_
_space_group_symop_operation_xyz
'x,y,z'
'-x,-y,-z'
'-x,y,-z'
'x,-y,z'
'x+1/2,y+1/2,z'
'-x+1/2,-y+1/2,-z'
'-x+1/2,y+1/2,-z'
'x+1/2,-y+1/2,z'
loop_
_atom_site_label
_atom_site_type_symbol
_atom_site_fract_x
_atom_site_fract_y
_atom_site_fract_z
Sr1 Sr 0.000 0.000 0.000
Re1 Re 0.215 0.000 0.715
Rh1 Rh 0.000 0.500 0.500
```